No. 1
Material: CsK2TmF6
Method: DFT, GGA-PBE
State: relaxed

Structure (extended XYZ):
```
20
Lattice="6.5049 0.0000 0.0000 0.0000 6.9445 0.0000 -6.3074 0.0000 9.4062" Properties=species:S:1:pos:R:3 pbc="T T T"
Cs 0.0000 0.0000 0.0000
Cs -3.1537 3.4722 4.7031
K -3.1353 0.2203 6.8030
K 0.0184 3.2520 2.0999
K 0.1792 3.6925 7.3063
K 3.3328 6.7242 2.6032
Tm 0.0988 0.0000 4.7031
Tm 3.2525 3.4722 0.0000
F -1.7780 1.0099 4.4798
F -4.9317 2.4624 9.1829
F -3.9730 5.1370 8.3586
F -0.8193 5.2797 3.6555
F 0.8364 0.8134 2.8413
F -2.3173 2.6588 7.5444
F 2.5148 4.2857 1.8617
F -0.6389 6.1310 6.5648
F 1.0169 1.6648 5.7507
F 4.1706 1.8074 1.0476
F 5.1293 4.4821 0.2233
F 1.9756 5.9346 4.9264
```

Formation energy from raw total energies, eV per atom: -3.361
Space group: P2_1/c, No. 14

***

No. 2
Material: Cs3K2TmF8
Method: DFT, GGA-PBE
State: relaxed

Structure (extended XYZ):
```
14
Lattice="6.6355 0.0000 0.0000 -3.3178 5.7465 0.0000 0.0000 0.0000 9.0458" Properties=species:S:1:pos:R:3 pbc="T T T"
Cs 0.0000 0.0000 0.0000
Cs 0.0000 3.8310 5.6874
Cs 3.3178 1.9155 3.3584
K 0.0000 3.8310 1.7497
K 3.3178 1.9155 7.2962
Tm 0.0000 0.0000 4.5229
F 0.0000 1.7353 3.2522
F -1.8149 4.8789 3.2522
F 1.5028 0.8677 5.7936
F 0.0000 3.8310 8.3752
F 3.3178 1.9155 0.6706
F 1.8149 4.8789 3.2522
F 5.1327 0.8677 5.7936
F 3.3178 4.0112 5.7936
```

Formation energy from raw total energies, eV per atom: -3.103
Space group: P-3m1, No. 164

***

No. 3
Material: Cs2KUF8
Method: DFT, GGA-PBE
State: relaxed

Structure (extended XYZ):
```
12
Lattice="-3.2436 3.2436 6.0658 3.2436 -3.2436 6.0658 3.2436 3.2436 -6.0658" Properties=species:S:1:pos:R:3 pbc="T T T"
Cs 0.0000 0.0000 0.0000
Cs 0.0000 3.2436 3.0329
K 0.0000 0.0000 6.0658
U 3.2436 0.0000 3.0329
F 1.3079 1.9900 -1.7493
F 1.9357 -1.2536 4.3165
F 1.9900 1.3079 1.7493
F 4.4972 1.3079 1.7493
F 1.3079 4.4972 -1.7493
F 1.9357 1.2536 4.3165
F -1.2536 1.9357 7.8151
F 1.2536 1.9357 7.8151
```

Formation energy from raw total energies, eV per atom: -3.225
Space group: I-4m2, No. 119